Record 1
The following is a PBE calculation of NdGeBr after structural relaxation, from Alexandria via LeMat-Bulk.

Computed properties:
Electronic total energy (eV/cell): -28.135
Raw formation energy (eV/atom): -1.003

Cell lengths 4.121, 5.422, 8.348 Å; angles 108.86, 104.29, 90.00 degrees
Element x y z (fractional)
Br1 0.217 0.217 0.435
Br2 0.783 0.783 0.565
Nd1 0.127 0.627 0.254
Nd2 0.873 0.373 0.746
Ge1 0.500 0.745 0.999
Ge2 0.500 0.255 0.001


Record 2
The following is a PBE calculation of Nd2GeBr3 after structural relaxation, from Alexandria via LeMat-Bulk.

Computed properties:
Electronic total energy (eV/cell): -55.193
Raw formation energy (eV/atom): -1.404

Cell lengths 4.247, 9.860, 10.558 Å; angles 79.23, 78.40, 77.56 degrees
Element x y z (fractional)
Nd1 0.129 0.561 0.182
Nd2 0.614 0.214 0.557
Nd3 0.871 0.439 0.818
Nd4 0.386 0.786 0.443
Ge1 0.440 0.500 0.620
Ge2 0.560 0.500 0.380
Br1 0.046 0.141 0.766
Br2 0.954 0.859 0.234
Br3 0.673 0.676 0.978
Br4 0.756 0.871 0.617
Br5 0.327 0.324 0.022
Br6 0.244 0.129 0.383


Record 3
The following is a PBE calculation of Nd2GeBr after structural relaxation, from Alexandria via LeMat-Bulk.

Computed properties:
Electronic total energy (eV/cell): -80.941
Raw formation energy (eV/atom): -1.102

Cell lengths 4.124, 7.771, 14.412 Å; angles 90.00, 90.00, 90.00 degrees
Element x y z (fractional)
Br1 0.250 0.076 0.407
Br2 0.750 0.424 0.907
Br3 0.750 0.924 0.593
Br4 0.250 0.576 0.093
Ge1 0.750 0.085 0.150
Ge2 0.250 0.415 0.650
Ge3 0.750 0.585 0.350
Ge4 0.250 0.915 0.850
Nd1 0.250 0.695 0.493
Nd2 0.250 0.847 0.237
Nd3 0.750 0.153 0.763
Nd4 0.250 0.347 0.263
Nd5 0.750 0.305 0.507
Nd6 0.750 0.805 0.993
Nd7 0.750 0.653 0.737
Nd8 0.250 0.195 0.007


Record 4
The following is a PBE calculation of Nd2GeBr after structural relaxation, from Alexandria via LeMat-Bulk.

Computed properties:
Electronic total energy (eV/cell): -20.295
Raw formation energy (eV/atom): -1.117

Cell lengths 4.242, 4.242, 8.020 Å; angles 74.67, 74.67, 60.00 degrees
Element x y z (fractional)
Nd1 0.070 0.070 0.791
Nd2 0.264 0.264 0.207
Br1 0.498 0.498 0.506
Ge1 0.668 0.668 0.996


Record 5
The following is a PBE calculation of NdGeBr after structural relaxation, from Alexandria via LeMat-Bulk.

Computed properties:
Electronic total energy (eV/cell): -29.251
Raw formation energy (eV/atom): -1.189

Cell lengths 3.996, 3.988, 10.201 Å; angles 90.00, 90.12, 90.00 degrees
Element x y z (fractional)
Br1 0.249 0.250 0.356
Br2 0.751 0.750 0.644
Ge1 0.237 0.750 0.000
Ge2 0.763 0.250 0.000
Nd1 0.251 0.250 0.773
Nd2 0.749 0.750 0.227


Record 6
The following is a PBE calculation of Nd2GeBr after structural relaxation, from Alexandria via LeMat-Bulk.

Computed properties:
Electronic total energy (eV/cell): -19.467
Raw formation energy (eV/atom): -0.910

Cell lengths 3.591, 3.591, 8.044 Å; angles 90.00, 90.00, 90.00 degrees
Element x y z (fractional)
Br1 0.500 0.500 0.500
Ge1 0.500 0.500 0.000
Nd1 0.000 0.000 0.773
Nd2 0.000 0.000 0.227


Record 7
The following is a PBE calculation of Nd6Ni2GeBr3 after structural relaxation, from Alexandria via LeMat-Bulk.

Computed properties:
Electronic total energy (eV/cell): -60.455
Raw formation energy (eV/atom): -0.887

Cell lengths 4.099, 9.061, 9.818 Å; angles 107.16, 102.05, 90.00 degrees
Element x y z (fractional)
Br1 0.839 0.163 0.679
Br2 0.161 0.837 0.321
Br3 0.500 0.500 0.000
Nd1 0.338 0.878 0.677
Nd2 0.678 0.552 0.356
Nd3 0.322 0.448 0.644
Nd4 0.014 0.237 0.029
Nd5 0.986 0.763 0.971
Nd6 0.662 0.122 0.323
Ni1 0.169 0.338 0.337
Ni2 0.831 0.662 0.663
Ge1 0.500 0.000 0.000


Record 8
The following is a PBE calculation of Nd8NiGe3Br4 after structural relaxation, from Alexandria via LeMat-Bulk.

Computed properties:
Electronic total energy (eV/cell): -81.100
Raw formation energy (eV/atom): -1.040

Cell lengths 8.566, 8.789, 8.566 Å; angles 119.16, 120.00, 90.00 degrees
Element x y z (fractional)
Ge1 0.500 0.500 0.000
Ge2 0.500 0.500 0.500
Ge3 0.000 0.500 0.500
Br1 0.500 0.000 0.000
Br2 0.500 0.000 0.500
Br3 0.000 0.000 0.000
Br4 0.000 0.000 0.500
Ni1 0.000 0.500 0.000
Nd1 0.770 0.290 0.020
Nd2 0.250 0.290 0.020
Nd3 0.230 0.709 0.460
Nd4 0.750 0.710 0.980
Nd5 0.739 0.718 0.479
Nd6 0.770 0.291 0.540
Nd7 0.230 0.710 0.980
Nd8 0.261 0.282 0.521